DyPaZnHg: relaxed, GGA-PBE.

a b c (Å): 5.1731 5.1731 5.1731
angles (deg): 60.00 60.00 60.00
Last column: nearest neighbours and their distance in Å.
Sites, in units of the cell vectors:
Zn: 0.0000 0.0000 0.0000  4 Pa 3.17, 4 Dy 3.17
Pa: 0.7500 0.7500 0.7500  4 Hg 3.17, 4 Zn 3.17
Hg: 0.5000 0.5000 0.5000  4 Dy 3.17, 4 Pa 3.17
Dy: 0.2500 0.2500 0.2500  4 Hg 3.17, 4 Zn 3.17

Properties
* crystal system: cubic
* space-group type: F-43m (216)
* N(E_F): 2.077 states/eV per atom
* formation enthalpy at 0 K: -0.006 eV per atom